Computed, not measured: an optimized crystal structure of Sn6AsSe3S2 at the PBE level of DFT.

Cell lengths 7.259, 12.627, 7.254 Å; angles 90.00, 109.42, 90.00 degrees
Space group C2/m (No. 12)
Asymmetric unit:
Sn (0.245, 0.165, 0.237)
Sn (0.249, 0.000, 0.757)
As (0.000, 0.000, 0.000)
Se (0.000, 0.162, 0.500)
Se (0.000, 0.500, 0.500)
S (0.000, 0.332, 0.000)

Output
- D(E_F) (states/eV per cell) = 10.86
- ρ (Mg/m³) = 5.8
- ΔE_f (raw) (eV per atom) = -0.3394
- total DFT energy (no corrections) (eV per atom) = -4.287
- total moment (μB per cell) = 0.0

=====

Computed, not measured: an optimized crystal structure of Tm6ZnSb2 at the PBE level of DFT.

Cell lengths 6.744, 6.744, 13.202 Å; angles 90.00, 90.00, 90.00 degrees
Space group P4_2/mnm (No. 136)
Asymmetric unit:
Tm (0.193, 0.193, 0.156)
Tm (0.213, 0.213, 0.500)
Zn (0.000, 0.000, 0.000)
Sb (0.000, 0.000, 0.333)

Output
- D(E_F) (states/eV per cell) = 30.26
- ρ (Mg/m³) = 7.3
- ΔE_f (raw) (eV per atom) = -0.1320
- total DFT energy (no corrections) (eV per atom) = -4.171
- total moment (μB per cell) = 0.0

=====

Computed, not measured: an optimized crystal structure of LiCdH6Pt at the PBE level of DFT.

Cell lengths 4.7388, 4.7388, 4.6327 Å; angles 90.00, 90.00, 120.00 degrees
Space group P312 (No. 149)
Asymmetric unit:
Li (0.0000, 0.0000, 0.0000)
Cd (0.6667, 0.3333, 0.5000)
H (0.0446, 0.3907, 0.2195)
Pt (0.3333, 0.6667, 0.0000)

Output
- D(E_F) (states/eV per cell) = 0.21
- ρ (Mg/m³) = 5.9
- total DFT energy (no corrections) (eV per atom) = -3.332
- total moment (μB per cell) = 0.0

=====

Computed, not measured: an optimized crystal structure of TbSmHo at the PBE level of DFT.

Cell lengths 5.6564, 5.6564, 3.4728 Å; angles 90.00, 90.00, 120.00 degrees
Space group P-6m2 (No. 187)
Asymmetric unit:
Tb (0.0000, 0.0000, 0.0000)
Sm (0.6667, 0.3333, 0.5000)
Ho (0.3333, 0.6667, 0.0000)

Output
- D(E_F) (states/eV per cell) = 4.38
- ρ (Mg/m³) = 8.2
- formation enthalpy at 0 K (kJ per mole of atoms) = 6.5
- energy above the most stable polymorph in this dataset (kJ per mole of atoms) = 4.7
- total DFT energy (no corrections) (eV per atom) = -4.575
- total moment (μB per cell) = 0.0